(1)
{
  "formula": "Na2B3C",
  "functional": "PBE-GGA",
  "state": "optimized geometry",
  "space_group": "Cm (8)",
  "de_polymorph_mev_per_atom": 47,
  "dft_energy_ev_per_atom": -5.135,
  "delta_e_f_ev_per_fu": 1.1,
  "lattice": [[-1.851, 8.770, -1.510], [-3.895, -7.954, 2.045], [0.596, 0.970, 4.923]],
  "species": ["Na", "Na", "Na", "Na", "Na", "Na", "Na", "Na", "B", "B", "B", "B", "B", "B", "B", "B", "B", "B", "B", "B", "C", "C", "C", "C"],
  "frac_coords": [[0.751, 0.248, 0.999], [0.999, 0.002, 0.999], [0.749, 0.751, 0.502], [0.498, 0.501, 0.999], [0.999, 0.501, 0.501], [0.501, 0.999, 0.500], [0.252, 0.749, 0.999], [0.250, 0.250, 0.498], [0.639, 0.389, 0.683], [0.625, 0.875, 0.819], [0.375, 0.125, 0.818], [0.625, 0.875, 0.160], [0.626, 0.376, 0.336], [0.124, 0.874, 0.336], [0.363, 0.613, 0.344], [0.887, 0.137, 0.344], [0.111, 0.861, 0.683], [0.375, 0.125, 0.165], [0.125, 0.375, 0.836], [0.876, 0.624, 0.149], [0.370, 0.620, 0.665], [0.125, 0.375, 0.166], [0.875, 0.625, 0.832], [0.880, 0.130, 0.665]]
}



(2)
{
  "formula": "Na5B8C2",
  "functional": "PBE-GGA",
  "state": "optimized geometry",
  "space_group": "Amm2 (38)",
  "de_polymorph_mev_per_atom": 35,
  "dft_energy_ev_per_atom": -5.025,
  "delta_e_f_ev_per_fu": 3.1,
  "lattice": [[-11.156, -2.934, -5.677], [10.240, 1.017, 7.707], [-3.849, 6.366, 4.274]],
  "species": ["B", "B", "B", "B", "B", "B", "B", "B", "B", "B", "B", "B", "B", "B", "B", "B", "Na", "Na", "Na", "Na", "Na", "Na", "Na", "Na", "Na", "Na", "C", "C", "C", "C"],
  "frac_coords": [[0.866, 0.134, 0.250], [0.267, 0.733, 0.750], [0.734, 0.266, 0.250], [0.934, 0.066, 0.250], [0.266, 0.734, 0.250], [0.066, 0.934, 0.250], [0.534, 0.466, 0.250], [0.339, 0.661, 0.750], [0.334, 0.666, 0.250], [0.466, 0.534, 0.250], [0.134, 0.866, 0.250], [0.130, 0.870, 0.750], [0.726, 0.274, 0.750], [0.533, 0.467, 0.750], [0.666, 0.334, 0.250], [0.936, 0.064, 0.750], [0.600, 0.400, 0.501], [0.800, 0.200, 0.995], [0.000, 0.000, 0.501], [0.401, 0.599, 0.999], [0.600, 0.400, 0.999], [0.401, 0.599, 0.501], [0.199, 0.801, 0.998], [0.000, 0.000, 0.999], [0.800, 0.200, 0.505], [0.199, 0.801, 0.502], [0.663, 0.337, 0.750], [0.871, 0.129, 0.750], [0.065, 0.935, 0.750], [0.468, 0.532, 0.750]]
}